FeAs2Pd: relaxed, GGA-PBE.

a b c (Å): 4.379 4.379 4.379
angles (deg): 60.00 60.00 60.00
Sites, in units of the cell vectors:
Fe (0.000, 0.000, 0.000)
As (0.250, 0.250, 0.250)
As (0.750, 0.750, 0.750)
Pd (0.500, 0.500, 0.500)

Properties
Total moment ... 0.000 μB per atom
Calculated formation energy ... 0.167 eV/atom
N(E_F) ... 9.80 states/eV/f.u.
Calculated density ... 8.7 g/cm3